The following is a PBE with a Hubbard U calculation of a geometry-optimized CaMn3F structure, from the Alexandria database.

Properties
VASP energy = -4.136 eV per atom
V = 245 Å³/cell
energy relative to the lowest polymorph listed for this composition = 1.192 eV/atom
magnetic moment = 15.4 μB/f.u.
D(E_F) = 2.5 states/eV/f.u.

Cell lengths 6.254, 6.254, 6.254 Å; angles 90.00, 90.00, 90.00 degrees
Fractional coordinates of all 5 atoms:
1 Ca 0.000 0.000 0.000
2 Mn 0.000 0.000 0.500
3 Mn 0.000 0.500 0.000
4 Mn 0.500 0.000 0.000
5 F 0.500 0.500 0.500